# 1
NaHo5 | GGA-PBE | relaxed

Cell lengths 6.5689, 6.5689, 5.6982 Å; angles 90.00, 90.00, 120.00 degrees
Space group P6/mmm (No. 191)
Symmetry-distinct sites (fractional):
Na1 0.0000 0.0000 0.0000
Ho1 0.0000 0.5000 0.5000
Ho2 0.3333 0.6667 0.0000

Values from the calculation:
Uncorrected energy: -3.549 eV/atom
Volume: 35.49 Å³/atom

=====

# 2
NaHo | GGA-PBE | relaxed

Cell lengths 3.4309, 3.4309, 6.1396 Å; angles 90.00, 90.00, 120.00 degrees
Space group P-6m2 (No. 187)
Symmetry-distinct sites (fractional):
Na1 0.0000 0.0000 0.0000
Ho1 0.3333 0.6667 0.5000

Values from the calculation:
Uncorrected energy: -2.664 eV/atom
Volume: 31.29 Å³/atom
Energy above the lowest structure with this stoichiometry: 0.000 eV/atom

=====

# 3
Na2Ho | GGA-PBE | relaxed

Cell lengths 8.872, 8.872, 8.872 Å; angles 90.00, 90.00, 90.00 degrees
Space group Fd-3m (No. 227, origin choice 2)
Symmetry-distinct sites (fractional):
Na1 0.000 0.000 0.000
Ho1 0.125 0.125 0.625

Values from the calculation:
Uncorrected energy: -2.048 eV/atom
Volume: 29.09 Å³/atom
Energy above the lowest structure with this stoichiometry: 0.000 eV/atom

=====

# 4
NaHo2 | GGA-PBE | relaxed

Cell lengths 13.555, 13.555, 13.555 Å; angles 90.00, 90.00, 90.00 degrees
Space group Fd-3m (No. 227, origin choice 2)
Symmetry-distinct sites (fractional):
Na1 0.125 0.125 0.125
Ho1 0.000 0.000 0.000

Values from the calculation:
Uncorrected energy: -1.078 eV/atom
Volume: 103.77 Å³/atom
Energy above the lowest structure with this stoichiometry: 1.960 eV/atom

=====

# 5
NaHo | GGA-PBE | relaxed

Cell lengths 7.060, 7.060, 7.060 Å; angles 90.00, 90.00, 90.00 degrees
Space group F-43m (No. 216)
Symmetry-distinct sites (fractional):
Na1 0.000 0.000 0.000
Ho1 0.250 0.250 0.250

Values from the calculation:
Uncorrected energy: -1.396 eV/atom
Volume: 43.99 Å³/atom
Energy above the lowest structure with this stoichiometry: 1.268 eV/atom

=====

# 6
NaHo2 | GGA-PBE | relaxed

Cell lengths 9.379, 9.379, 9.379 Å; angles 90.00, 90.00, 90.00 degrees
Space group Fd-3m (No. 227, origin choice 2)
Symmetry-distinct sites (fractional):
Na1 0.125 0.125 0.125
Ho1 0.000 0.000 0.500

Values from the calculation:
Uncorrected energy: -3.038 eV/atom
Volume: 34.37 Å³/atom
Energy above the lowest structure with this stoichiometry: 0.000 eV/atom

=====

# 7
NaNdHo | GGA-PBE | relaxed

Cell lengths 7.568, 7.568, 7.568 Å; angles 90.00, 90.00, 90.00 degrees
Space group F-43m (No. 216)
Symmetry-distinct sites (fractional):
Na1 0.000 0.000 0.000
Nd1 0.250 0.250 0.250
Ho1 0.250 0.250 0.750

Values from the calculation:
Uncorrected energy: -2.768 eV/atom
Volume: 36.13 Å³/atom
Energy above the lowest structure with this stoichiometry: 0.000 eV/atom

=====

# 8
Na2NdHoO4 | GGA-PBE | relaxed

Cell lengths 4.647, 4.647, 10.477 Å; angles 90.00, 90.00, 90.00 degrees
Space group I-4m2 (No. 119)
Symmetry-distinct sites (fractional):
Na1 0.000 0.000 0.000
Na2 0.000 0.500 0.250
Nd1 0.000 0.500 0.750
Ho1 0.000 0.000 0.500
O1 0.000 0.000 0.285
O2 0.000 0.500 0.519

Values from the calculation:
Uncorrected energy: -6.694 eV/atom
Volume: 14.14 Å³/atom

=====

# 9
Na2HoNi2 | GGA-PBE | relaxed

Cell lengths 13.788, 6.892, 4.695 Å; angles 90.00, 90.00, 90.00 degrees
Space group Cmcm (No. 63)
Symmetry-distinct sites (fractional):
Na1 0.175 0.134 0.250
Ho1 0.000 0.309 0.750
Ni1 0.142 0.500 0.000

Values from the calculation:
Uncorrected energy: -3.488 eV/atom
Volume: 22.31 Å³/atom

=====

# 10
NaHoNiSe3 | GGA-PBE | relaxed

Cell lengths 11.037, 4.065, 11.933 Å; angles 90.00, 90.00, 90.00 degrees
Space group Pnma (No. 62)
Symmetry-distinct sites (fractional):
Na1 0.184 0.250 0.005
Ho1 0.014 0.250 0.311
Ni1 0.248 0.750 0.216
Se1 0.048 0.750 0.145
Se2 0.109 0.250 0.563
Se3 0.222 0.750 0.808

Values from the calculation:
Uncorrected energy: -4.731 eV/atom
Volume: 22.31 Å³/atom
Energy above the lowest structure with this stoichiometry: 0.053 eV/atom

=====

# 11
NaHoNiSe3 | GGA-PBE | relaxed

Cell lengths 8.325, 3.988, 9.220 Å; angles 90.00, 103.74, 90.00 degrees
Space group P2_1/m (No. 11)
Symmetry-distinct sites (fractional):
Na1 0.197 0.250 0.225
Ho1 0.323 0.750 0.853
Ni1 0.082 0.250 0.590
Se1 0.084 0.250 0.853
Se2 0.203 0.750 0.526
Se3 0.439 0.750 0.169

Values from the calculation:
Uncorrected energy: -4.785 eV/atom
Volume: 24.78 Å³/atom
Energy above the lowest structure with this stoichiometry: 0.000 eV/atom

=====

# 12
NaHoNiSe3 | GGA-PBE | relaxed

Cell lengths 3.922, 13.796, 10.342 Å; angles 90.00, 90.00, 90.00 degrees
Space group Cmcm (No. 63)
Symmetry-distinct sites (fractional):
Na1 0.000 0.247 0.250
Ho1 0.000 0.000 0.000
Ni1 0.000 0.484 0.750
Se1 0.000 0.085 0.750
Se2 0.000 0.365 0.583

Values from the calculation:
Uncorrected energy: -4.749 eV/atom
Volume: 23.32 Å³/atom
Energy above the lowest structure with this stoichiometry: 0.036 eV/atom

=====

# 13
NaHoNiTe3 | GGA-PBE | relaxed

Cell lengths 14.923, 4.177, 11.302 Å; angles 90.00, 90.00, 90.00 degrees
Space group Pnma (No. 62)
Symmetry-distinct sites (fractional):
Na1 0.224 0.250 0.044
Ho1 0.017 0.250 0.339
Ni1 0.010 0.750 0.103
Te1 0.085 0.750 0.903
Te2 0.117 0.250 0.572
Te3 0.144 0.750 0.243

Values from the calculation:
Uncorrected energy: -4.309 eV/atom
Volume: 29.35 Å³/atom
Energy above the lowest structure with this stoichiometry: 0.005 eV/atom

=====

# 14
NaHoNiTe3 | GGA-PBE | relaxed

Cell lengths 4.120, 15.639, 10.591 Å; angles 90.00, 90.00, 90.00 degrees
Space group Cmcm (No. 63)
Symmetry-distinct sites (fractional):
Na1 0.000 0.249 0.250
Ho1 0.000 0.000 0.000
Ni1 0.000 0.489 0.750
Te1 0.000 0.091 0.750
Te2 0.000 0.369 0.587

Values from the calculation:
Uncorrected energy: -4.302 eV/atom
Volume: 28.43 Å³/atom
Energy above the lowest structure with this stoichiometry: 0.012 eV/atom

=====

# 15
NaHoNiTe3 | GGA-PBE | relaxed

Cell lengths 8.913, 4.170, 9.910 Å; angles 90.00, 107.13, 90.00 degrees
Space group P2_1/m (No. 11)
Symmetry-distinct sites (fractional):
Na1 0.209 0.250 0.250
Ho1 0.319 0.750 0.849
Ni1 0.097 0.250 0.606
Te1 0.076 0.250 0.856
Te2 0.196 0.750 0.520
Te3 0.438 0.750 0.171

Values from the calculation:
Uncorrected energy: -4.314 eV/atom
Volume: 29.33 Å³/atom
Energy above the lowest structure with this stoichiometry: 0.000 eV/atom

=====

# 16
NaHoNiTe3 | GGA-PBE | relaxed

Cell lengths 8.699, 4.280, 17.426 Å; angles 90.00, 90.00, 90.00 degrees
Space group Pnma (No. 62)
Symmetry-distinct sites (fractional):
Na1 0.085 0.250 0.213
Ho1 0.243 0.750 0.451
Ni1 0.123 0.250 0.646
Te1 0.015 0.750 0.589
Te2 0.131 0.750 0.058
Te3 0.186 0.250 0.784

Values from the calculation:
Uncorrected energy: -4.204 eV/atom
Volume: 27.03 Å³/atom
Energy above the lowest structure with this stoichiometry: 0.110 eV/atom

=====

# 17
NaHoNiTe3 | GGA-PBE | relaxed

Cell lengths 10.688, 4.144, 15.284 Å; angles 90.00, 90.00, 90.00 degrees
Space group Pnma (No. 62)
Symmetry-distinct sites (fractional):
Na1 0.232 0.250 0.001
Ho1 0.014 0.750 0.749
Ni1 0.238 0.750 0.239
Te1 0.073 0.750 0.119
Te2 0.100 0.250 0.617
Te3 0.237 0.250 0.341

Values from the calculation:
Uncorrected energy: -4.300 eV/atom
Volume: 28.21 Å³/atom
Energy above the lowest structure with this stoichiometry: 0.014 eV/atom

=====

# 18
NaHoNiTe3 | GGA-PBE | relaxed

Cell lengths 12.119, 4.252, 12.310 Å; angles 90.00, 90.00, 90.00 degrees
Space group Pnma (No. 62)
Symmetry-distinct sites (fractional):
Na1 0.209 0.250 0.008
Ho1 0.041 0.250 0.302
Ni1 0.237 0.750 0.214
Te1 0.051 0.750 0.125
Te2 0.099 0.250 0.574
Te3 0.203 0.750 0.804

Values from the calculation:
Uncorrected energy: -4.263 eV/atom
Volume: 26.43 Å³/atom
Energy above the lowest structure with this stoichiometry: 0.051 eV/atom

=====

# 19
NaHoNiTe3 | GGA-PBE | relaxed

Cell lengths 17.497, 4.384, 8.936 Å; angles 90.00, 105.05, 90.00 degrees
Space group C2/m (No. 12)
Symmetry-distinct sites (fractional):
Na1 0.135 0.000 0.067
Ho1 0.174 0.000 0.598
Ni1 0.006 0.500 0.680
Te1 0.000 0.000 0.500
Te2 0.000 0.500 0.000
Te3 0.148 0.500 0.346
Te4 0.158 0.500 0.819

Values from the calculation:
Uncorrected energy: -4.191 eV/atom
Volume: 27.58 Å³/atom
Energy above the lowest structure with this stoichiometry: 0.123 eV/atom

=====

# 20
NaHo2OsO6 | GGA-PBE | relaxed

Cell lengths 5.354, 5.772, 9.354 Å; angles 90.00, 123.29, 90.00 degrees
Space group P2_1/c (No. 14)
Symmetry-distinct sites (fractional):
Na1 0.000 0.000 0.000
Ho1 0.217 0.075 0.743
Os1 0.500 0.000 0.500
O1 0.140 0.173 0.442
O2 0.256 0.713 0.416
O3 0.414 0.069 0.270

Values from the calculation:
Uncorrected energy: -7.529 eV/atom
Volume: 12.08 Å³/atom